Computed, not measured: a PBEsol-optimized structure of AgIr2Cl at the meta-GGA SCAN level of DFT.

## Properties
Magnetization in μB per atom: 0.000
ΔE to the lowest computed polymorph in eV/atom: 0.000
Energy relative to the elements, uncorrected in eV per atom: 0.856
ρ in Mg/m³: 14.20
Calculated total energy in eV per cell: -178.12
Space group: No. 12

Structure (POSCAR):
```
AgIr2Cl
1.0
2.721 -4.714 0.000
2.721 4.714 0.000
-1.412 0.000 2.406
Ag Ir Cl
1 2 1
Direct
0.000 0.000 0.000
0.000 0.500 0.000
0.500 0.000 0.000
0.500 0.500 0.000
```

Computed, not measured: a PBEsol-optimized structure of Ag2IrCl at the meta-GGA SCAN level of DFT.

## Properties
Magnetization in μB per atom: 0.145
ΔE to the lowest computed polymorph in eV/atom: 0.000
Energy relative to the elements, uncorrected in eV per atom: 0.300
ρ in Mg/m³: 11.43
Calculated total energy in eV per cell: -140.61
Space group: No. 166

Structure (POSCAR):
```
Ag2IrCl
1.0
1.465 0.846 8.661
-1.465 0.846 8.661
0.000 -1.692 8.661
Ag Ir Cl
2 1 1
Direct
0.248 0.248 0.248
0.752 0.752 0.752
0.000 0.000 0.000
0.500 0.500 0.500
```

Computed, not measured: a PBEsol-optimized structure of AgIr2Cl at the meta-GGA SCAN level of DFT.

## Properties
Magnetization in μB per atom: 0.000
ΔE to the lowest computed polymorph in eV/atom: 0.478
Energy relative to the elements, uncorrected in eV per atom: 1.334
ρ in Mg/m³: 14.43
Calculated total energy in eV per cell: -176.21
Space group: No. 123

Structure (POSCAR):
```
AgIr2Cl
1.0
4.655 0.000 0.000
0.000 4.655 0.000
0.000 0.000 2.802
Ag Ir Cl
1 2 1
Direct
0.000 0.000 0.000
0.000 0.500 0.500
0.500 0.000 0.500
0.500 0.500 0.000
```

Computed, not measured: a PBEsol-optimized structure of AgIrS2Cl at the meta-GGA SCAN level of DFT.

## Properties
Magnetization in μB per atom: 0.000
Energy relative to the elements, uncorrected in eV per atom: 0.367
ρ in Mg/m³: 6.46
Calculated total energy in eV per cell: -127.86
Space group: No. 123

Structure (POSCAR):
```
AgIrS2Cl
1.0
4.516 0.000 0.000
0.000 4.516 0.000
0.000 0.000 5.036
Ag Ir S Cl
1 1 2 1
Direct
0.000 0.000 0.000
0.500 0.500 0.500
0.000 0.500 0.500
0.500 0.000 0.500
0.500 0.500 0.000
```

Question: Which value of ρ does entry 1 give?
Answer: 14.20 Mg/m³

Copy entry 3 word for word.
Computed, not measured: a PBEsol-optimized structure of AgIr2Cl at the meta-GGA SCAN level of DFT.

## Properties
Magnetization in μB per atom: 0.000
ΔE to the lowest computed polymorph in eV/atom: 0.478
Energy relative to the elements, uncorrected in eV per atom: 1.334
ρ in Mg/m³: 14.43
Calculated total energy in eV per cell: -176.21
Space group: No. 123

Structure (POSCAR):
```
AgIr2Cl
1.0
4.655 0.000 0.000
0.000 4.655 0.000
0.000 0.000 2.802
Ag Ir Cl
1 2 1
Direct
0.000 0.000 0.000
0.000 0.500 0.500
0.500 0.000 0.500
0.500 0.500 0.000
```